Here is a geometry-optimized SrVSO2 structure from Alexandria via LeMat-Bulk. Energies are from PBE+U.

Unit cell a=6.2351 b=6.2351 c=7.2081 alpha=90.00 beta=90.00 gamma=145.55
Closest atoms and distances in Å follow each position.
Positions (direct):
Sr 0.2287 0.7713 0.7500  6 O 2.55-2.59
Sr 0.7713 0.2287 0.2500  6 O 2.55-2.59
V 0.5000 0.5000 0.0000  2 O 1.78
V 0.5000 0.5000 0.5000  2 O 1.78
S 0.0406 0.9594 0.2500  4 V 2.62
S 0.9594 0.0406 0.7500  4 V 2.62
O 0.3527 0.6473 0.0456  1 V 1.78
O 0.3527 0.6473 0.4544  1 V 1.78
O 0.6473 0.3527 0.5456  1 V 1.78
O 0.6473 0.3527 0.9544  1 V 1.78

Total magnetic moment in μB per formula unit: 1.00
E_tot in eV/atom: -6.6135